(1)
Entry from Alexandria: an optimized crystal structure of LiCaRu2 (PBE).

## Properties
**Offset from the most stable computed form**: 165 meV/atom
**Crystal system**: orthorhombic
**Density of states at the Fermi level**: 4.00 states/eV/f.u.
**Calculated formation energy**: 1.62 eV per formula unit
**SG**: Pmmm, No. 47

abc: 2.652 4.417 5.841
angles: 90.00 90.00 90.00
Element x y z (fractional)
Ca: 0.500 0.500 0.250
Li: 0.500 0.500 0.750
Ru: 0.000 0.000 0.953
Ru: 0.000 0.000 0.547



(2)
Entry from Alexandria: an optimized crystal structure of Ca4MgPa3As8 (PBE).

## Properties
**Crystal system**: trigonal
**Density of states at the Fermi level**: 9.31 states/eV/f.u.
**Calculated formation energy**: -17.33 eV per formula unit
**SG**: R-3m, No. 166

abc: 8.326 8.341 8.326
angles: 119.94 120.00 90.00
Site moments in Bohr magnetons follow the coordinates.
Element x y z (fractional)
Ca: 0.500 0.000 0.000  0.00
Ca: 0.500 0.000 0.500  0.00
Ca: 0.000 0.000 0.000  0.00
Ca: 0.000 0.000 0.500  0.00
Mg: 0.000 0.500 0.000  0.00
Pa: 0.500 0.500 0.000  0.25
Pa: 0.500 0.500 0.500  0.25
Pa: 0.000 0.500 0.500  0.25
As: 0.245 0.729 0.984  -0.01
As: 0.245 0.729 0.490  -0.01
As: 0.255 0.266 0.511  -0.01
As: 0.739 0.729 0.984  -0.01
As: 0.261 0.271 0.016  -0.01
As: 0.745 0.734 0.489  -0.01
As: 0.755 0.271 0.510  -0.01
As: 0.755 0.271 0.016  -0.01



(3)
Entry from Alexandria: an optimized crystal structure of SiMo2Cl (PBE).

## Properties
**Offset from the most stable computed form**: 937 meV/atom
**Crystal system**: tetragonal
**Density of states at the Fermi level**: 4.51 states/eV/f.u.
**SG**: I-42d, No. 122

abc: 5.738 5.738 6.361
angles: 63.19 63.19 90.00
Site moments in Bohr magnetons follow the coordinates.
Element x y z (fractional)
Mo: 0.636 0.125 0.250  0.64
Mo: 0.114 0.625 0.250  0.59
Mo: 0.375 0.364 0.750  0.60
Mo: 0.875 0.886 0.750  0.59
Si: 0.500 0.500 0.000  -0.02
Si: 0.250 0.750 0.500  -0.02
Cl: 0.000 0.000 0.000  -0.01
Cl: 0.750 0.250 0.500  -0.01